--- i ---
Compound: GaAsPtBr2
Source: Alexandria
Functional: SCAN
Structure: single point on PBEsol structure

Cell: 4.603 5.394 5.394 Å, 90.00 90.00 90.00°
Positions (direct):
Br 0.000 0.500 0.000
As 0.000 0.000 0.000
Pt 0.500 0.000 0.000
Br 0.000 0.000 0.500
Ga 0.500 0.500 0.500

Summary:
- Total magnetization: 0.0 Bohr magnetons per cell



--- ii ---
Compound: GaAsPtBr2
Source: Alexandria
Functional: SCAN
Structure: single point on PBEsol structure

Cell: 4.649 5.315 5.315 Å, 90.00 90.00 90.00°
Positions (direct):
As 0.500 0.000 0.000
Br 0.000 0.500 0.000
Ga 0.500 0.500 0.500
Br 0.000 0.000 0.500
Pt 0.000 0.000 0.000

Summary:
- Total magnetization: 0.0 Bohr magnetons per cell



Which of them is the most stable? Correct choice: i.



--- i ---
Compound: HfAs2PbBr
Source: Alexandria
Functional: SCAN
Structure: single point on PBEsol structure

Cell: 5.141 5.141 5.140 Å, 90.00 90.00 90.00°
Positions (direct):
As 0.500 0.000 0.000
Br 0.000 0.000 0.500
Hf 0.000 0.000 0.000
As 0.000 0.500 0.000
Pb 0.500 0.500 0.500

Summary:
- Total magnetization: 0.0 Bohr magnetons per cell



--- ii ---
Compound: HfAs2PbBr
Source: Alexandria
Functional: SCAN
Structure: single point on PBEsol structure

Cell: 5.231 5.231 5.255 Å, 90.00 90.00 90.00°
Positions (direct):
Br 0.000 0.000 0.500
Pb 0.000 0.000 0.000
As 0.500 0.000 0.000
As 0.000 0.500 0.000
Hf 0.500 0.500 0.500

Summary:
- Total magnetization: 0.6 Bohr magnetons per cell



Which of them is the most stable? Correct choice: i.